# PBE RbCd5Sn2, relaxed
data_RbCd5Sn2
_chemical_formula_sum 'Rb2 Cd10 Sn4'
_symmetry_space_group_name_H-M 'I m m m'
_symmetry_Int_Tables_number 71
_symmetry_space_group_name_Hall '-I 2 2'
_cell_length_a 4.7069
_cell_length_b 8.3983
_cell_length_c 11.4925
_cell_angle_alpha 90.00
_cell_angle_beta 90.00
_cell_angle_gamma 90.00
loop_
_atom_site_label
_atom_site_fract_x
_atom_site_fract_y
_atom_site_fract_z
Rb1 0.0000 0.0000 0.0000
Cd1 0.0000 0.1870 0.3682
Cd2 0.0000 0.5000 0.0000
Sn1 0.0000 0.5000 0.2512
# DOS(E_F) = 0.30 states/eV/atom
# Formation energy from the elements = -0.07 eV per atom
# Magnetization = 0.00 μB/f.u.
# Calculated total energy = -28.3 eV per cell

# PBE VHgTe2, relaxed
data_VHgTe2
_chemical_formula_sum 'V2 Hg2 Te4'
_symmetry_space_group_name_H-M 'C 1 2/m 1'
_symmetry_Int_Tables_number 12
_cell_length_a 6.2108
_cell_length_b 3.5845
_cell_length_c 10.2914
_cell_angle_alpha 90.00
_cell_angle_beta 90.51
_cell_angle_gamma 90.00
loop_
_symmetry_equiv_pos_as_xyz
'x,y,z'
'-x,-y,-z'
'-x,y,-z'
'x,-y,z'
'x+1/2,y+1/2,z'
'-x+1/2,-y+1/2,-z'
'-x+1/2,y+1/2,-z'
'x+1/2,-y+1/2,z'
loop_
_atom_site_label
_atom_site_fract_x
_atom_site_fract_y
_atom_site_fract_z
V1 0.0000 0.0000 0.0000
Hg1 0.0000 0.0000 0.5000
Te1 0.1692 0.5000 0.1692
# DOS(E_F) = 0.29 states/eV/atom
# Uncorrected formation energy = -5.24 kcal/mol of atoms
# Magnetization = 0.81 μB/f.u.
# Calculated total energy = -33.2 eV per cell

# PBE LaSm2Th, relaxed
data_LaSm2Th
_chemical_formula_sum 'La1 Sm2 Th1'
_symmetry_space_group_name_H-M 'P 4/m m m'
_symmetry_Int_Tables_number 123
_symmetry_space_group_name_Hall '-P 4 2'
_cell_length_a 5.1615
_cell_length_b 5.1615
_cell_length_c 5.1006
_cell_angle_alpha 90.00
_cell_angle_beta 90.00
_cell_angle_gamma 90.00
loop_
_atom_site_label
_atom_site_fract_x
_atom_site_fract_y
_atom_site_fract_z
La1 0.0000 0.0000 0.0000
Sm1 0.0000 0.5000 0.5000
Th1 0.5000 0.5000 0.0000
# Polymorph energy (0 for the lowest one) = 3.3 kJ per mole of atoms
# DOS(E_F) = 1.27 states/eV/atom
# Formation energy from the elements = 0.06 eV per atom
# Magnetization = 0.00 μB/f.u.
# Calculated total energy = -21.6 eV per cell

# PBE LiInCo2, relaxed
data_LiInCo2
_chemical_formula_sum 'Li1 In1 Co2'
_symmetry_space_group_name_H-M 'P 1 2/m 1'
_symmetry_Int_Tables_number 10
_cell_length_a 2.6804
_cell_length_b 4.2541
_cell_length_c 4.8954
_cell_angle_alpha 90.00
_cell_angle_beta 99.32
_cell_angle_gamma 90.00
loop_
_symmetry_equiv_pos_as_xyz
'x,y,z'
'-x,-y,-z'
'-x,y,-z'
'x,-y,z'
loop_
_atom_site_label
_atom_site_fract_x
_atom_site_fract_y
_atom_site_fract_z
Li1 0.0000 0.0000 0.0000
In1 0.5000 0.0000 0.5000
Co1 0.2132 0.5000 0.7798
# DOS(E_F) = 1.00 states/eV/atom
# Formation energy from the elements = 0.23 eV per atom
# Magnetization = 2.68 μB/f.u.
# Calculated total energy = -18.0 eV per cell